--- a ---
Density functional theory data (PBE-GGA) for crystalline KLaBe3 at its relaxed geometry.

Cell lengths 4.9748, 4.9748, 4.9748 Å; angles 90.00, 90.00, 90.00 degrees
Element x y z (fractional)
Be 0.0000 0.5000 0.0000
Be 0.0000 0.0000 0.5000
Be 0.5000 0.0000 0.0000
K 0.0000 0.0000 0.0000
La 0.5000 0.5000 0.5000

Calculated values
The crystal system is cubic. The calculation puts the magnetic moment at 0.0000 μB/atom.


--- b ---
Density functional theory data (PBE-GGA) for crystalline KLaBe3 at its relaxed geometry.

Cell lengths 5.5338, 5.5338, 5.5338 Å; angles 90.00, 90.00, 90.00 degrees
Element x y z (fractional)
Be 0.0000 0.5000 0.0000
Be 0.0000 0.0000 0.5000
Be 0.5000 0.0000 0.0000
K 0.5000 0.5000 0.5000
La 0.0000 0.0000 0.0000

Calculated values
The crystal system is cubic. The calculation puts the magnetic moment at 0.0000 μB/atom.


b comes first in stability; the runner-up is 0.107 eV/atom higher.